No. 1
# Lu3Cu4Si4

Lu3Cu4Si4 at its PBEsol-relaxed geometry (meta-GGA SCAN, Alexandria via LeMat-Bulk).

The total magnetization is 0.00 μB per formula unit. Its total energy is -547.87 eV per cell. As for the formation energy without anion corrections: -640.2 meV per atom.

It has space group Immm (No. 71), with a = 3.7984 Å, b = 3.9449 Å, c = 23.5941 Å, α = 90.00°, β = 90.00° and γ = 90.00°. Symmetry generates all atoms from Lu at (0.0000, 0.0000, 0.0000), Lu at (0.0000, 0.5000, 0.1485), Cu at (0.0000, 0.0000, 0.2513), Cu at (0.0000, 0.5000, 0.4043), Si at (0.0000, 0.0000, 0.4505) and Si at (0.0000, 0.5000, 0.3081).

***

No. 2
# LuCu2Si2

LuCu2Si2 at its PBEsol-relaxed geometry (meta-GGA SCAN, Alexandria via LeMat-Bulk).

The total magnetization is 0.00 μB per formula unit. Its total energy is -217.39 eV per cell. As for the formation energy without anion corrections: -584.5 meV per atom.

It has space group I4/mmm (No. 139), with a = 3.8629 Å, b = 3.8629 Å, c = 9.8973 Å, α = 90.00°, β = 90.00° and γ = 90.00°. Symmetry generates all atoms from Lu at (0.0000, 0.0000, 0.0000), Cu at (0.0000, 0.5000, 0.2500) and Si at (0.0000, 0.0000, 0.3837).

***

No. 3
# Lu3Cu4Sn4

Lu3Cu4Sn4 at its PBEsol-relaxed geometry (meta-GGA SCAN, Alexandria via LeMat-Bulk).

The total magnetization is 0.00 μB per formula unit. Its total energy is -752.66 eV per cell. Its formation enthalpy at 0 K is -0.529 eV/atom.

It has space group C2/m (No. 12), with a = 15.6714 Å, b = 4.3227 Å, c = 6.8087 Å, α = 90.00°, β = 113.90° and γ = 90.00°. Symmetry generates all atoms from Lu at (0.0000, 0.0000, 0.0000), Lu at (0.1285, 0.0000, 0.6504), Cu at (0.1500, 0.5000, 0.9765), Cu at (0.1927, 0.5000, 0.3902), Sn at (0.0169, 0.5000, 0.3121) and Sn at (0.2187, 0.0000, 0.1900).

***

No. 4
# LuCuSn

LuCuSn at its PBEsol-relaxed geometry (meta-GGA SCAN, Alexandria via LeMat-Bulk).

The total magnetization is 0.00 μB per formula unit. Its total energy is -216.49 eV per cell. Its formation enthalpy at 0 K is -0.593 eV/atom.

It has space group P6_3/mmc (No. 194), with a = 4.4359 Å, b = 4.4359 Å, c = 6.9746 Å, α = 90.00°, β = 90.00° and γ = 120.00°. Symmetry generates all atoms from Lu at (0.0000, 0.0000, 0.0000), Cu at (0.3333, 0.6667, 0.2500) and Sn at (0.3333, 0.6667, 0.7500).

***

No. 5
# Mg2Cu

Mg2Cu at its PBEsol-relaxed geometry (meta-GGA SCAN, Alexandria via LeMat-Bulk).

The total magnetization is 0.00 μB per formula unit. Its total energy is -102.49 eV per cell. Its formation enthalpy at 0 K is -0.158 eV/atom.

It has space group Ibam (No. 72), with a = 6.3681 Å, b = 6.3876 Å, c = 5.1721 Å, α = 90.00°, β = 90.00° and γ = 90.00°. Symmetry generates all atoms from Mg at (0.1680, 0.1684, 0.0000) and Cu at (0.0000, 0.5000, 0.2500).

***

No. 6
# Mg3Cu

Mg3Cu at its PBEsol-relaxed geometry (meta-GGA SCAN, Alexandria via LeMat-Bulk).

The total magnetization is 0.04 μB per formula unit. Its total energy is -60.52 eV per cell. Its formation enthalpy at 0 K is -0.035 eV/atom.

It has space group Immm (No. 71), with a = 3.2106 Å, b = 4.7872 Å, c = 9.5808 Å, α = 90.00°, β = 90.00° and γ = 90.00°. Symmetry generates all atoms from Mg at (0.0000, 0.0000, 0.0000), Mg at (0.0000, 0.5000, 0.2169) and Cu at (0.0000, 0.0000, 0.5000).

***

No. 7
# Mg17Cu12

Mg17Cu12 at its PBEsol-relaxed geometry (meta-GGA SCAN, Alexandria via LeMat-Bulk).

The total magnetization is 0.00 μB per formula unit. Its total energy is -538.42 eV per cell. Its formation enthalpy at 0 K is -0.078 eV/atom.

It has space group I-43m (No. 217), with a = 9.7743 Å, b = 9.7743 Å, c = 9.7743 Å, α = 90.00°, β = 90.00° and γ = 90.00°. Symmetry generates all atoms from Mg at (0.0000, 0.0000, 0.0000), Mg at (0.0450, 0.3572, 0.6428), Mg at (0.1668, 0.1668, 0.1668) and Cu at (0.0900, 0.0900, 0.7272).

***

No. 8
# MgCu3

MgCu3 at its PBEsol-relaxed geometry (meta-GGA SCAN, Alexandria via LeMat-Bulk).

The total magnetization is 0.00 μB per formula unit. Its total energy is -101.59 eV per cell. Its formation enthalpy at 0 K is -0.056 eV/atom.

It has space group I4/mmm (No. 139), with a = 3.7173 Å, b = 3.7173 Å, c = 7.3218 Å, α = 90.00°, β = 90.00° and γ = 90.00°. Symmetry generates all atoms from Mg at (0.0000, 0.0000, 0.0000), Cu at (0.0000, 0.0000, 0.5000) and Cu at (0.0000, 0.5000, 0.2500).

***

> total magnetization of number 3 (Lu3Cu4Sn4)?

0.00 μB per formula unit

***

> Look up the total magnetization of the eighth one.

0.00 μB per formula unit

***

> Which of these has the highest total magnetization?

Mg3Cu

***

Copy entry 3 word for word.
# Lu3Cu4Sn4

Lu3Cu4Sn4 at its PBEsol-relaxed geometry (meta-GGA SCAN, Alexandria via LeMat-Bulk).

The total magnetization is 0.00 μB per formula unit. Its total energy is -752.66 eV per cell. Its formation enthalpy at 0 K is -0.529 eV/atom.

It has space group C2/m (No. 12), with a = 15.6714 Å, b = 4.3227 Å, c = 6.8087 Å, α = 90.00°, β = 113.90° and γ = 90.00°. Symmetry generates all atoms from Lu at (0.0000, 0.0000, 0.0000), Lu at (0.1285, 0.0000, 0.6504), Cu at (0.1500, 0.5000, 0.9765), Cu at (0.1927, 0.5000, 0.3902), Sn at (0.0169, 0.5000, 0.3121) and Sn at (0.2187, 0.0000, 0.1900).